Entry 1:
BeFeP2: PBEsol geometry, SCAN.

Unit cell a=3.694 b=3.694 c=3.132 alpha=90.00 beta=90.00 gamma=90.00
Space group P4/mmm (No. 123)
Unique sites:
Be: 0.000 0.000 0.000 (multiplicity 1)
Fe: 0.500 0.500 0.000 (multiplicity 1)
P: 0.000 0.500 0.500 (multiplicity 2)

Calculated values
Offset from the most stable computed form (meV per atom): 507.3

---

Entry 2:
Cs2HfF6: PBEsol geometry, SCAN.

Unit cell a=6.3036 b=6.3036 c=4.9792 alpha=90.00 beta=90.00 gamma=120.00
Space group P-3m1 (No. 164)
Unique sites:
Cs: 0.3333 0.6667 0.3058 (multiplicity 2)
Hf: 0.0000 0.0000 0.0000 (multiplicity 1)
F: 0.1522 0.3045 0.7781 (multiplicity 6)

Calculated values
Formation energy (no corrections) (eV/atom): -3.6954

---

Number 1: spin magnetization 0.0 μB per cell, VASP energy -41.825 eV/f.u.. Number 2: spin magnetization 0.2 μB per cell, VASP energy -192.793 eV/f.u..